## CoPdSe2O8 (PBE with a Hubbard U)

Data for crystalline CoPdSe2O8 at its relaxed geometry.

a = 5.9275 Å, b = 5.9275 Å, c = 5.5161 Å
α = 90.00°, β = 90.00°, γ = 120.00°
Site moments in Bohr magnetons follow the coordinates.
Sites, in units of the cell vectors:
Co (0.0000, 0.0000, 0.5000)  2.75
Pd (0.0000, 0.0000, 0.0000)  0.00
Se (0.6667, 0.3333, 0.2765)  -0.02
Se (0.3333, 0.6667, 0.7235)  -0.02
O (0.8575, 0.1425, 0.2572)  0.03
O (0.8575, 0.7151, 0.2572)  0.03
O (0.2849, 0.1425, 0.2572)  0.03
O (0.7151, 0.8575, 0.7428)  0.03
O (0.3333, 0.6667, 0.4284)  0.01
O (0.6667, 0.3333, 0.5716)  0.01
O (0.1425, 0.8575, 0.7428)  0.03
O (0.1425, 0.2849, 0.7428)  0.03

Energy in eV for the cell shown: -61.8
Fermi-level density of states in states/eV per cell: 1.677
Total moment in μB/atom: 0.25